No. 1
# TaCrF3 (GGA+U, optimized geometry)
# Polymorph energy (0 for the lowest one) = 0 meV per atom
data_TaCrF3
_chemical_formula_sum 'Ta1 Cr1 F3'
_space_group_name_H-M_alt 'P m -3 m'
_space_group_IT_number 221
_space_group_name_Hall '-P 4 2 3'
_cell_length_a 4.294
_cell_length_b 4.294
_cell_length_c 4.294
_cell_angle_alpha 90.00
_cell_angle_beta 90.00
_cell_angle_gamma 90.00
loop_
_atom_site_label
_atom_site_type_symbol
_atom_site_fract_x
_atom_site_fract_y
_atom_site_fract_z
Ta1 Ta 0.000 0.000 0.000
Cr1 Cr 0.500 0.500 0.500
F1 F 0.000 0.000 0.500



No. 2
# TaCrF2 (GGA+U, optimized geometry)
# Polymorph energy (0 for the lowest one) = 370 meV per atom
data_TaCrF2
_chemical_formula_sum 'Ta4 Cr4 F8'
_space_group_name_H-M_alt 'F m -3 m'
_space_group_IT_number 225
_space_group_name_Hall '-F 4 2 3'
_cell_length_a 6.008
_cell_length_b 6.008
_cell_length_c 6.008
_cell_angle_alpha 90.00
_cell_angle_beta 90.00
_cell_angle_gamma 90.00
loop_
_atom_site_label
_atom_site_type_symbol
_atom_site_fract_x
_atom_site_fract_y
_atom_site_fract_z
Ta1 Ta 0.000 0.000 0.000
Cr1 Cr 0.000 0.000 0.500
F1 F 0.250 0.250 0.250



No. 3
# TaCr2F (GGA+U, optimized geometry)
# Polymorph energy (0 for the lowest one) = 0 meV per atom
data_TaCr2F
_chemical_formula_sum 'Ta4 Cr8 F4'
_space_group_name_H-M_alt 'I -4 2 d'
_space_group_IT_number 122
_space_group_name_Hall 'I -4 2bw'
_cell_length_a 6.878
_cell_length_b 6.878
_cell_length_c 5.519
_cell_angle_alpha 90.00
_cell_angle_beta 90.00
_cell_angle_gamma 90.00
loop_
_atom_site_label
_atom_site_type_symbol
_atom_site_fract_x
_atom_site_fract_y
_atom_site_fract_z
Ta1 Ta 0.000 0.000 0.000
Cr1 Cr 0.190 0.250 0.625
F1 F 0.000 0.000 0.500



No. 4
# TaTlCr2F (GGA+U, optimized geometry)
# Calculated total energy = -5.023 eV/atom
data_TaTlCr2F
_chemical_formula_sum 'Ta1 Tl1 Cr2 F1'
_space_group_name_H-M_alt 'P 4/m m m'
_space_group_IT_number 123
_space_group_name_Hall '-P 4 2'
_cell_length_a 5.158
_cell_length_b 5.158
_cell_length_c 4.257
_cell_angle_alpha 90.00
_cell_angle_beta 90.00
_cell_angle_gamma 90.00
loop_
_atom_site_label
_atom_site_type_symbol
_atom_site_fract_x
_atom_site_fract_y
_atom_site_fract_z
Ta1 Ta 0.000 0.000 0.000
Tl1 Tl 0.500 0.500 0.500
Cr1 Cr 0.000 0.500 0.500
F1 F 0.500 0.500 0.000



No. 5
# Cr3TcF (GGA+U, optimized geometry)
# Polymorph energy (0 for the lowest one) = 569 meV per atom
data_Cr3TcF
_chemical_formula_sum 'Cr3 Tc1 F1'
_space_group_name_H-M_alt 'P m -3 m'
_space_group_IT_number 221
_space_group_name_Hall '-P 4 2 3'
_cell_length_a 4.867
_cell_length_b 4.867
_cell_length_c 4.867
_cell_angle_alpha 90.00
_cell_angle_beta 90.00
_cell_angle_gamma 90.00
loop_
_atom_site_label
_atom_site_type_symbol
_atom_site_fract_x
_atom_site_fract_y
_atom_site_fract_z
Cr1 Cr 0.000 0.000 0.500
Tc1 Tc 0.000 0.000 0.000
F1 F 0.500 0.500 0.500



No. 6
# Cr3TcF (GGA+U, optimized geometry)
# Polymorph energy (0 for the lowest one) = 0 meV per atom
data_Cr3TcF
_chemical_formula_sum 'Cr3 Tc1 F1'
_space_group_name_H-M_alt 'P m -3 m'
_space_group_IT_number 221
_space_group_name_Hall '-P 4 2 3'
_cell_length_a 4.359
_cell_length_b 4.359
_cell_length_c 4.359
_cell_angle_alpha 90.00
_cell_angle_beta 90.00
_cell_angle_gamma 90.00
loop_
_atom_site_label
_atom_site_type_symbol
_atom_site_fract_x
_atom_site_fract_y
_atom_site_fract_z
Cr1 Cr 0.000 0.000 0.500
Tc1 Tc 0.500 0.500 0.500
F1 F 0.000 0.000 0.000



No. 7
# Cr2TcWF (GGA+U, optimized geometry)
# Calculated total energy = -6.224 eV/atom
data_Cr2TcWF
_chemical_formula_sum 'Cr2 Tc1 W1 F1'
_space_group_name_H-M_alt 'P 4/m m m'
_space_group_IT_number 123
_space_group_name_Hall '-P 4 2'
_cell_length_a 4.042
_cell_length_b 4.042
_cell_length_c 5.260
_cell_angle_alpha 90.00
_cell_angle_beta 90.00
_cell_angle_gamma 90.00
loop_
_atom_site_label
_atom_site_type_symbol
_atom_site_fract_x
_atom_site_fract_y
_atom_site_fract_z
Cr1 Cr 0.000 0.500 0.000
Tc1 Tc 0.000 0.000 0.500
W1 W 0.500 0.500 0.500
F1 F 0.500 0.500 0.000



No. 8
# CrTe2F (GGA+U, optimized geometry)
# Polymorph energy (0 for the lowest one) = 159 meV per atom
data_CrTe2F
_chemical_formula_sum 'Cr4 Te8 F4'
_space_group_name_H-M_alt 'I -4 2 d'
_space_group_IT_number 122
_space_group_name_Hall 'I -4 2bw'
_cell_length_a 4.320
_cell_length_b 4.320
_cell_length_c 20.173
_cell_angle_alpha 90.00
_cell_angle_beta 90.00
_cell_angle_gamma 90.00
loop_
_atom_site_label
_atom_site_type_symbol
_atom_site_fract_x
_atom_site_fract_y
_atom_site_fract_z
Cr1 Cr 0.000 0.000 0.000
Te1 Te 0.244 0.250 0.125
F1 F 0.000 0.000 0.500



No. 9
# CrTe2F (GGA+U, optimized geometry)
# Polymorph energy (0 for the lowest one) = 93 meV per atom
data_CrTe2F
_chemical_formula_sum 'Cr4 Te8 F4'
_space_group_name_H-M_alt 'F m -3 m'
_space_group_IT_number 225
_space_group_name_Hall '-F 4 2 3'
_cell_length_a 6.814
_cell_length_b 6.814
_cell_length_c 6.814
_cell_angle_alpha 90.00
_cell_angle_beta 90.00
_cell_angle_gamma 90.00
loop_
_atom_site_label
_atom_site_type_symbol
_atom_site_fract_x
_atom_site_fract_y
_atom_site_fract_z
Cr1 Cr 0.000 0.000 0.000
Te1 Te 0.250 0.250 0.250
F1 F 0.000 0.000 0.500



No. 10
# CrTeF2 (GGA+U, optimized geometry)
# Polymorph energy (0 for the lowest one) = 0 meV per atom
data_CrTeF2
_chemical_formula_sum 'Cr3 Te3 F6'
_space_group_name_H-M_alt 'R -3 m'
_space_group_IT_number 166
_space_group_name_Hall '-R 3 2"'
_cell_length_a 3.2977
_cell_length_b 3.2977
_cell_length_c 28.3779
_cell_angle_alpha 90.00
_cell_angle_beta 90.00
_cell_angle_gamma 120.00
loop_
_atom_site_label
_atom_site_type_symbol
_atom_site_fract_x
_atom_site_fract_y
_atom_site_fract_z
Cr1 Cr 0.0000 0.0000 0.0000
Te1 Te 0.0000 0.0000 0.5000
F1 F 0.0000 0.0000 0.3654



No. 11
# Cr3TeF (GGA+U, optimized geometry)
# Polymorph energy (0 for the lowest one) = 427 meV per atom
data_Cr3TeF
_chemical_formula_sum 'Cr3 Te1 F1'
_space_group_name_H-M_alt 'P m -3 m'
_space_group_IT_number 221
_space_group_name_Hall '-P 4 2 3'
_cell_length_a 5.376
_cell_length_b 5.376
_cell_length_c 5.376
_cell_angle_alpha 90.00
_cell_angle_beta 90.00
_cell_angle_gamma 90.00
loop_
_atom_site_label
_atom_site_type_symbol
_atom_site_fract_x
_atom_site_fract_y
_atom_site_fract_z
Cr1 Cr 0.000 0.000 0.500
Te1 Te 0.000 0.000 0.000
F1 F 0.500 0.500 0.500



No. 12
# Cr3TeF (GGA+U, optimized geometry)
# Polymorph energy (0 for the lowest one) = 0 meV per atom
data_Cr3TeF
_chemical_formula_sum 'Cr3 Te1 F1'
_space_group_name_H-M_alt 'P m -3 m'
_space_group_IT_number 221
_space_group_name_Hall '-P 4 2 3'
_cell_length_a 4.660
_cell_length_b 4.660
_cell_length_c 4.660
_cell_angle_alpha 90.00
_cell_angle_beta 90.00
_cell_angle_gamma 90.00
loop_
_atom_site_label
_atom_site_type_symbol
_atom_site_fract_x
_atom_site_fract_y
_atom_site_fract_z
Cr1 Cr 0.000 0.000 0.500
Te1 Te 0.500 0.500 0.500
F1 F 0.000 0.000 0.000



No. 13
# CrTeF2 (GGA+U, optimized geometry)
# Polymorph energy (0 for the lowest one) = 843 meV per atom
data_CrTeF2
_chemical_formula_sum 'Cr4 Te4 F8'
_space_group_name_H-M_alt 'F m -3 m'
_space_group_IT_number 225
_space_group_name_Hall '-F 4 2 3'
_cell_length_a 6.358
_cell_length_b 6.358
_cell_length_c 6.358
_cell_angle_alpha 90.00
_cell_angle_beta 90.00
_cell_angle_gamma 90.00
loop_
_atom_site_label
_atom_site_type_symbol
_atom_site_fract_x
_atom_site_fract_y
_atom_site_fract_z
Cr1 Cr 0.000 0.000 0.000
Te1 Te 0.000 0.000 0.500
F1 F 0.250 0.250 0.250



No. 14
# CrTe2F (GGA+U, optimized geometry)
# Polymorph energy (0 for the lowest one) = 449 meV per atom
data_CrTe2F
_chemical_formula_sum 'Cr3 Te6 F3'
_space_group_name_H-M_alt 'R -3 m'
_space_group_IT_number 166
_space_group_name_Hall '-R 3 2"'
_cell_length_a 3.2503
_cell_length_b 3.2503
_cell_length_c 29.3655
_cell_angle_alpha 90.00
_cell_angle_beta 90.00
_cell_angle_gamma 120.00
loop_
_atom_site_label
_atom_site_type_symbol
_atom_site_fract_x
_atom_site_fract_y
_atom_site_fract_z
Cr1 Cr 0.0000 0.0000 0.0000
Te1 Te 0.0000 0.0000 0.0949
F1 F 0.0000 0.0000 0.5000



No. 15
# CrTeF2 (GGA+U, optimized geometry)
# Polymorph energy (0 for the lowest one) = 277 meV per atom
data_CrTeF2
_chemical_formula_sum 'Cr4 Te4 F8'
_space_group_name_H-M_alt 'I -4 2 d'
_space_group_IT_number 122
_space_group_name_Hall 'I -4 2bw'
_cell_length_a 6.042
_cell_length_b 6.042
_cell_length_c 10.032
_cell_angle_alpha 90.00
_cell_angle_beta 90.00
_cell_angle_gamma 90.00
loop_
_atom_site_label
_atom_site_type_symbol
_atom_site_fract_x
_atom_site_fract_y
_atom_site_fract_z
Cr1 Cr 0.000 0.000 0.000
Te1 Te 0.000 0.000 0.500
F1 F 0.005 0.250 0.125



No. 16
# CrTeF3 (GGA+U, optimized geometry)
# Calculated total energy = -4.191 eV/atom
data_CrTeF3
_chemical_formula_sum 'Cr1 Te1 F3'
_space_group_name_H-M_alt 'P m -3 m'
_space_group_IT_number 221
_space_group_name_Hall '-P 4 2 3'
_cell_length_a 4.654
_cell_length_b 4.654
_cell_length_c 4.654
_cell_angle_alpha 90.00
_cell_angle_beta 90.00
_cell_angle_gamma 90.00
loop_
_atom_site_label
_atom_site_type_symbol
_atom_site_fract_x
_atom_site_fract_y
_atom_site_fract_z
Cr1 Cr 0.000 0.000 0.000
Te1 Te 0.500 0.500 0.500
F1 F 0.000 0.500 0.500



No. 17
# CrTe2F (GGA+U, optimized geometry)
# Polymorph energy (0 for the lowest one) = 0 meV per atom
data_CrTe2F
_chemical_formula_sum 'Cr3 Te6 F3'
_space_group_name_H-M_alt 'R -3 m'
_space_group_IT_number 166
_space_group_name_Hall '-R 3 2"'
_cell_length_a 4.2256
_cell_length_b 4.2256
_cell_length_c 21.7939
_cell_angle_alpha 90.00
_cell_angle_beta 90.00
_cell_angle_gamma 120.00
loop_
_atom_site_label
_atom_site_type_symbol
_atom_site_fract_x
_atom_site_fract_y
_atom_site_fract_z
Cr1 Cr 0.0000 0.0000 0.0000
Te1 Te 0.0000 0.0000 0.3950
F1 F 0.0000 0.0000 0.5000



No. 18
# VCrTe2F (GGA+U, optimized geometry)
# Calculated total energy = -4.641 eV/atom
data_VCrTe2F
_chemical_formula_sum 'V1 Cr1 Te2 F1'
_space_group_name_H-M_alt 'P 4/m m m'
_space_group_IT_number 123
_space_group_name_Hall '-P 4 2'
_cell_length_a 5.601
_cell_length_b 5.601
_cell_length_c 3.819
_cell_angle_alpha 90.00
_cell_angle_beta 90.00
_cell_angle_gamma 90.00
loop_
_atom_site_label
_atom_site_type_symbol
_atom_site_fract_x
_atom_site_fract_y
_atom_site_fract_z
V1 V 0.000 0.000 0.000
Cr1 Cr 0.500 0.500 0.000
Te1 Te 0.000 0.500 0.500
F1 F 0.500 0.500 0.500



No. 19
# V2CrTeF (GGA+U, optimized geometry)
# Calculated total energy = -4.729 eV/atom
data_V2CrTeF
_chemical_formula_sum 'V2 Cr1 Te1 F1'
_space_group_name_H-M_alt 'P 4/m m m'
_space_group_IT_number 123
_space_group_name_Hall '-P 4 2'
_cell_length_a 5.350
_cell_length_b 5.350
_cell_length_c 4.464
_cell_angle_alpha 90.00
_cell_angle_beta 90.00
_cell_angle_gamma 90.00
loop_
_atom_site_label
_atom_site_type_symbol
_atom_site_fract_x
_atom_site_fract_y
_atom_site_fract_z
V1 V 0.000 0.500 0.000
Cr1 Cr 0.000 0.000 0.500
Te1 Te 0.500 0.500 0.000
F1 F 0.500 0.500 0.500



No. 20
# CrTeW2F (GGA+U, optimized geometry)
# Calculated total energy = -4.462 eV/atom
data_CrTeW2F
_chemical_formula_sum 'Cr1 Te1 W2 F1'
_space_group_name_H-M_alt 'P 4/m m m'
_space_group_IT_number 123
_space_group_name_Hall '-P 4 2'
_cell_length_a 4.557
_cell_length_b 4.557
_cell_length_c 4.933
_cell_angle_alpha 90.00
_cell_angle_beta 90.00
_cell_angle_gamma 90.00
loop_
_atom_site_label
_atom_site_type_symbol
_atom_site_fract_x
_atom_site_fract_y
_atom_site_fract_z
Cr1 Cr 0.000 0.000 0.000
Te1 Te 0.500 0.500 0.000
W1 W 0.000 0.500 0.500
F1 F 0.000 0.000 0.500